# 1
Re2GePt: optimized geometry, PBE-GGA.

## Properties
E, Ha/atom: -0.2793
Space group: I-42d (122)

a b c (Å): 5.756 5.756 6.771
angles (deg): 64.84 64.84 90.00
Atoms (fractional coordinates):
1 Re 0.375 0.369 0.750
2 Ge 0.500 0.500 0.000
3 Re 0.119 0.625 0.250
4 Ge 0.250 0.750 0.500
5 Pt 0.000 0.000 0.000
6 Pt 0.750 0.250 0.500
7 Re 0.875 0.881 0.750
8 Re 0.631 0.125 0.250

# 2
ReGePt3: optimized geometry, PBE-GGA.

## Properties
Distance to the lowest polymorph of the same formula, kJ/mol of atoms: 3.1
Space group: Pm-3m (221)

a b c (Å): 4.616 4.616 4.616
angles (deg): 90.00 90.00 90.00
Atoms (fractional coordinates):
1 Re 0.500 0.500 0.500
2 Ge 0.000 0.000 0.000
3 Pt 0.000 0.500 0.000
4 Pt 0.000 0.000 0.500
5 Pt 0.500 0.000 0.000

# 3
ReGePt2Rh: optimized geometry, PBE-GGA.

## Properties
E, Ha/atom: -0.2105
Space group: P4/mmm (123)

a b c (Å): 4.898 4.557 4.898
angles (deg): 90.00 90.00 90.00
Atoms (fractional coordinates):
1 Rh 0.000 0.000 0.000
2 Ge 0.500 0.500 0.500
3 Pt 0.000 0.000 0.500
4 Pt 0.500 0.000 0.000
5 Re 0.000 0.500 0.000

# 4
ReGePt2S: optimized geometry, PBE-GGA.

## Properties
Formation energy from raw total energies, kJ/mol of formula units: 654
Space group: P4/mmm (123)

a b c (Å): 4.615 4.778 4.615
angles (deg): 90.00 90.00 90.00
Atoms (fractional coordinates):
1 Pt 0.000 0.000 0.500
2 Re 0.000 0.500 0.000
3 Pt 0.500 0.000 0.000
4 Ge 0.000 0.000 0.000
5 S 0.500 0.500 0.500

# 5
ReSiGePt2: optimized geometry, PBE-GGA.

## Properties
Formation energy from raw total energies, kJ/mol of formula units: 548
Space group: P4/mmm (123)

a b c (Å): 4.889 4.723 4.889
angles (deg): 90.00 90.00 90.00
Atoms (fractional coordinates):
1 Pt 0.000 0.000 0.500
2 Pt 0.500 0.000 0.000
3 Ge 0.000 0.500 0.000
4 Re 0.000 0.000 0.000
5 Si 0.500 0.500 0.500

# 6
Y2ReGePt: optimized geometry, PBE-GGA.

## Properties
E, Ha/atom: -0.2470
Space group: P4/mmm (123)

a b c (Å): 5.346 4.535 5.346
angles (deg): 90.00 90.00 90.00
Atoms (fractional coordinates):
1 Ge 0.000 0.500 0.000
2 Y 0.000 0.000 0.500
3 Y 0.500 0.000 0.000
4 Re 0.500 0.500 0.500
5 Pt 0.000 0.000 0.000

# 7
Zr2ReGePt: optimized geometry, PBE-GGA.

## Properties
E, Ha/atom: -0.2677
Space group: P4/mmm (123)

a b c (Å): 4.930 4.439 4.930
angles (deg): 90.00 90.00 90.00
Atoms (fractional coordinates):
1 Re 0.500 0.500 0.500
2 Pt 0.000 0.500 0.000
3 Zr 0.500 0.000 0.000
4 Zr 0.000 0.000 0.500
5 Ge 0.000 0.000 0.000

# 8
ZrRe2GePt: optimized geometry, PBE-GGA.

## Properties
E, Ha/atom: -0.2708
Space group: P4/mmm (123)

a b c (Å): 4.848 4.544 4.848
angles (deg): 90.00 90.00 90.00
Atoms (fractional coordinates):
1 Re 0.000 0.000 0.500
2 Pt 0.000 0.000 0.000
3 Re 0.500 0.000 0.000
4 Zr 0.500 0.500 0.500
5 Ge 0.000 0.500 0.000

# 9
GePtRh2: optimized geometry, PBE-GGA.

## Properties
E, Ha/atom: -0.2297
Space group: I-42d (122)

a b c (Å): 3.754 3.754 9.523
angles (deg): 78.63 78.63 90.00
Atoms (fractional coordinates):
1 Rh 0.124 0.625 0.250
2 Pt 0.000 0.000 0.000
3 Pt 0.750 0.250 0.500
4 Rh 0.375 0.374 0.750
5 Rh 0.875 0.876 0.750
6 Ge 0.250 0.750 0.500
7 Ge 0.500 0.500 0.000
8 Rh 0.626 0.125 0.250

# 10
Ge2PtRh: optimized geometry, PBE-GGA.

## Properties
E, Ha/atom: -0.2128
Space group: I-42d (122)

a b c (Å): 5.593 5.593 6.789
angles (deg): 65.67 65.67 90.00
Atoms (fractional coordinates):
1 Ge 0.132 0.625 0.250
2 Ge 0.375 0.382 0.750
3 Rh 0.250 0.750 0.500
4 Ge 0.875 0.868 0.750
5 Rh 0.500 0.500 0.000
6 Pt 0.750 0.250 0.500
7 Ge 0.618 0.125 0.250
8 Pt 0.000 0.000 0.000

# 11
GePt3Rh: optimized geometry, PBE-GGA.

## Properties
Distance to the lowest polymorph of the same formula, kJ/mol of atoms: 139.4
Space group: Pm-3m (221)

a b c (Å): 4.829 4.829 4.829
angles (deg): 90.00 90.00 90.00
Atoms (fractional coordinates):
1 Pt 0.000 0.500 0.000
2 Pt 0.000 0.000 0.500
3 Pt 0.500 0.000 0.000
4 Ge 0.500 0.500 0.500
5 Rh 0.000 0.000 0.000

# 12
Ge3PtRh: optimized geometry, PBE-GGA.

## Properties
Distance to the lowest polymorph of the same formula, kJ/mol of atoms: 56.5
Space group: Pm-3m (221)

a b c (Å): 4.704 4.704 4.704
angles (deg): 90.00 90.00 90.00
Atoms (fractional coordinates):
1 Ge 0.000 0.000 0.500
2 Pt 0.500 0.500 0.500
3 Rh 0.000 0.000 0.000
4 Ge 0.000 0.500 0.000
5 Ge 0.500 0.000 0.000

# 13
Ge4Pt2Rh: optimized geometry, PBE-GGA.

## Properties
E, Ha/atom: -0.2114
Space group: Pnma (62)

a b c (Å): 3.387 11.065 13.126
angles (deg): 90.00 90.00 90.00
Atoms (fractional coordinates):
1 Pt 0.250 0.419 0.934
2 Rh 0.250 0.718 0.337
3 Rh 0.750 0.782 0.837
4 Pt 0.750 0.057 0.865
5 Pt 0.250 0.919 0.566
6 Rh 0.750 0.282 0.663
7 Ge 0.750 0.351 0.074
8 Pt 0.750 0.557 0.635
9 Pt 0.750 0.581 0.066
10 Ge 0.750 0.448 0.797
11 Ge 0.250 0.226 0.820
12 Ge 0.750 0.095 0.057
13 Ge 0.750 0.851 0.426
14 Ge 0.750 0.274 0.320
15 Ge 0.250 0.405 0.557
16 Ge 0.250 0.552 0.203
17 Ge 0.250 0.149 0.574
18 Pt 0.250 0.443 0.365
19 Ge 0.250 0.726 0.680
20 Ge 0.250 0.649 0.926
21 Ge 0.750 0.774 0.180
22 Ge 0.250 0.905 0.943
23 Pt 0.250 0.943 0.135
24 Ge 0.250 0.052 0.297
25 Ge 0.750 0.595 0.443
26 Pt 0.750 0.081 0.434
27 Ge 0.750 0.948 0.703
28 Rh 0.250 0.218 0.163

# 14
GePtRh2: optimized geometry, PBE-GGA.

## Properties
E, Ha/atom: -0.2436
Space group: Cmcm (63)

a b c (Å): 2.880 5.704 7.441
angles (deg): 90.00 90.00 104.63
Atoms (fractional coordinates):
1 Rh 0.365 0.730 0.550
2 Ge 0.734 0.469 0.750
3 Pt 0.031 0.062 0.750
4 Rh 0.365 0.730 0.950
5 Ge 0.266 0.531 0.250
6 Pt 0.969 0.938 0.250
7 Rh 0.635 0.270 0.050
8 Rh 0.635 0.270 0.450

# 15
Ge2PtRh: optimized geometry, PBE-GGA.

## Properties
E, Ha/atom: -0.2192
Space group: Imm2 (44)

a b c (Å): 3.520 3.612 5.656
angles (deg): 71.38 71.88 90.00
Atoms (fractional coordinates):
1 Pt 0.279 0.779 0.443
2 Ge 0.713 0.213 0.573
3 Ge 0.967 0.967 0.066
4 Rh 0.541 0.541 0.918

# 16
Ge2PtRh4: optimized geometry, PBE-GGA.

## Properties
E, Ha/atom: -0.2444
Space group: R-3m (166)

a b c (Å): 4.185 4.185 7.511
angles (deg): 73.82 73.82 60.00
Atoms (fractional coordinates):
1 Ge 0.755 0.755 0.734
2 Ge 0.245 0.245 0.266
3 Rh 0.872 0.872 0.383
4 Rh 0.128 0.128 0.617
5 Pt 0.000 0.000 0.000
6 Rh 0.612 0.612 0.163
7 Rh 0.388 0.388 0.837

# 17
Ge3PtRh: optimized geometry, PBE-GGA.

## Properties
Distance to the lowest polymorph of the same formula, kJ/mol of atoms: 0.0
Space group: Pnma (62)

a b c (Å): 3.003 10.006 11.316
angles (deg): 90.00 90.00 90.00
Atoms (fractional coordinates):
1 Ge 0.750 0.502 0.621
2 Ge 0.250 0.260 0.752
3 Pt 0.250 0.190 0.965
4 Rh 0.250 0.573 0.159
5 Ge 0.250 0.998 0.121
6 Ge 0.750 0.740 0.248
7 Rh 0.250 0.073 0.341
8 Pt 0.750 0.310 0.465
9 Ge 0.250 0.613 0.928
10 Ge 0.250 0.760 0.748
11 Ge 0.250 0.498 0.379
12 Ge 0.750 0.387 0.072
13 Ge 0.250 0.113 0.572
14 Rh 0.750 0.927 0.659
15 Rh 0.750 0.427 0.841
16 Ge 0.750 0.240 0.252
17 Ge 0.750 0.002 0.879
18 Pt 0.250 0.690 0.535
19 Pt 0.750 0.810 0.035
20 Ge 0.750 0.887 0.428

# 18
GePtRh2: optimized geometry, PBE-GGA.

## Properties
E, Ha/atom: -0.2435
Space group: P4/mmm (123)

a b c (Å): 3.831 3.913 3.913
angles (deg): 90.00 90.00 90.00
Atoms (fractional coordinates):
1 Ge 0.500 0.000 0.000
2 Rh 0.000 0.000 0.500
3 Pt 0.500 0.500 0.500
4 Rh 0.000 0.500 0.000

# 19
GePtRh3: optimized geometry, PBE-GGA.

## Properties
Distance to the lowest polymorph of the same formula, kJ/mol of atoms: 0.0
Space group: Pm-3m (221)

a b c (Å): 4.487 4.487 4.487
angles (deg): 90.00 90.00 90.00
Atoms (fractional coordinates):
1 Pt 0.500 0.500 0.500
2 Rh 0.500 0.000 0.000
3 Ge 0.000 0.000 0.000
4 Rh 0.000 0.500 0.000
5 Rh 0.000 0.000 0.500

# 20
GePt14Rh: optimized geometry, PBE-GGA.

## Properties
E, Ha/atom: -0.2233
Space group: Amm2 (38)

a b c (Å): 5.578 5.578 9.282
angles (deg): 90.00 90.00 120.06
Atoms (fractional coordinates):
1 Pt 0.698 0.800 0.000
2 Pt 0.197 0.803 0.000
3 Pt 0.376 0.128 0.742
4 Pt 0.057 0.446 0.500
5 Pt 0.200 0.302 0.000
6 Pt 0.872 0.624 0.742
7 Pt 0.373 0.627 0.750
8 Pt 0.376 0.128 0.258
9 Pt 0.554 0.943 0.500
10 Pt 0.876 0.124 0.749
11 Rh 0.050 0.950 0.500
12 Pt 0.872 0.624 0.258
13 Ge 0.551 0.449 0.500
14 Pt 0.373 0.627 0.250
15 Pt 0.699 0.301 0.000
16 Pt 0.876 0.124 0.251

# 21
Ge4PtRh5: optimized geometry, PBE-GGA.

## Properties
E, Ha/atom: -0.2375
Space group: Pmmn (59)

a b c (Å): 5.517 7.922 7.479
angles (deg): 90.00 90.00 90.00
Atoms (fractional coordinates):
1 Rh 0.761 0.717 0.702
2 Ge 0.436 0.184 0.500
3 Ge 0.091 0.500 0.700
4 Rh 0.239 0.217 0.798
5 Rh 0.239 0.783 0.798
6 Ge 0.909 0.000 0.800
7 Rh 0.761 0.283 0.702
8 Pt 0.458 0.500 0.500
9 Ge 0.436 0.816 0.500
10 Ge 0.909 0.000 0.200
11 Rh 0.761 0.283 0.298
12 Rh 0.910 0.500 0.000
13 Rh 0.239 0.217 0.202
14 Ge 0.564 0.684 0.000
15 Rh 0.239 0.783 0.202
16 Ge 0.564 0.316 0.000
17 Rh 0.761 0.717 0.298
18 Ge 0.091 0.500 0.300
19 Pt 0.542 0.000 0.000
20 Rh 0.090 0.000 0.500

# 22
GePt3Rh: optimized geometry, PBE-GGA.

## Properties
Distance to the lowest polymorph of the same formula, kJ/mol of atoms: 98.4
Space group: Pm-3m (221)

a b c (Å): 4.602 4.602 4.602
angles (deg): 90.00 90.00 90.00
Atoms (fractional coordinates):
1 Ge 0.000 0.000 0.000
2 Rh 0.500 0.500 0.500
3 Pt 0.000 0.000 0.500
4 Pt 0.500 0.000 0.000
5 Pt 0.000 0.500 0.000

# 23
GePt2Rh: optimized geometry, PBE-GGA.

## Properties
E, Ha/atom: -0.2218
Space group: I-42d (122)

a b c (Å): 3.754 3.754 9.722
angles (deg): 78.87 78.87 90.00
Atoms (fractional coordinates):
1 Rh 0.750 0.250 0.500
2 Pt 0.875 0.876 0.750
3 Rh 0.000 0.000 0.000
4 Pt 0.375 0.374 0.750
5 Ge 0.500 0.500 0.000
6 Ge 0.250 0.750 0.500
7 Pt 0.124 0.625 0.250
8 Pt 0.626 0.125 0.250

# 24
Ge2PtRh2: optimized geometry, PBE-GGA.

## Properties
Distance to the lowest polymorph of the same formula, kJ/mol of atoms: 0.0
Space group: P4/mbm (127)

a b c (Å): 7.167 7.167 2.902
angles (deg): 90.00 90.00 90.00
Atoms (fractional coordinates):
1 Rh 0.642 0.858 0.500
2 Ge 0.156 0.344 0.000
3 Pt 0.500 0.500 0.000
4 Ge 0.844 0.656 0.000
5 Ge 0.656 0.156 0.000
6 Rh 0.358 0.142 0.500
7 Ge 0.344 0.844 0.000
8 Pt 0.000 0.000 0.000
9 Rh 0.142 0.642 0.500
10 Rh 0.858 0.358 0.500